Crystalline K2SrTl at its relaxed geometry, computed with GGA-PBE.

a = 13.100 Å, b = 13.100 Å, c = 13.100 Å
α = 19.23°, β = 19.23°, γ = 19.23°
Positions (direct):
K 0.000 0.000 0.000
K 0.228 0.228 0.228
Sr 0.766 0.766 0.766
Tl 0.493 0.493 0.493

For the relative energy among the computed polymorphs, the calculation gives 72 meV/atom. For the magnetization, the calculation gives 0.00 μB/f.u. For the density of states at the Fermi level, the calculation gives 2.522 states/eV per cell. Its symmetry is No. 160. The volume is 53.288 Å³/atom. For the formation energy, the calculation gives -34 meV/atom.